Record 1
First-principles (PBE-GGA) data for a relaxed Ba2CrCd crystal, as listed in Alexandria.

Computed properties:
Magnetization = 4.57 μB per formula unit
DFT formation energy = 0.4589 eV/atom

Cell: 9.5353 9.5353 9.5353 Å, 28.61 28.61 28.61°
With the nearest neighbours (Å) after each atom.
Fractional coordinates of all 4 atoms:
Ba 0.2461 0.2461 0.2461  3 Cr 3.48, 3 Cd 3.62
Ba 0.7539 0.7539 0.7539  3 Cr 3.48, 3 Cd 3.62
Cr 0.5000 0.5000 0.5000  6 Ba 3.48
Cd 0.0000 0.0000 0.0000  6 Ba 3.62


Record 2
First-principles (PBE-GGA) data for a relaxed YTc2Pd crystal, as listed in Alexandria.

Computed properties:
Excess energy over the best structure of this formula in the dataset = 0.000 eV per atom
Magnetization = 0.93 μB per formula unit
DFT formation energy = 0.4480 eV/atom

Cell: 4.6106 4.6106 4.6106 Å, 60.00 60.00 60.00°
With the nearest neighbours (Å) after each atom.
Fractional coordinates of all 4 atoms:
Y 0.0000 0.0000 0.0000  8 Tc 2.82
Tc 0.2500 0.2500 0.2500  4 Pd 2.82, 4 Y 2.82
Tc 0.7500 0.7500 0.7500  4 Pd 2.82, 4 Y 2.82
Pd 0.5000 0.5000 0.5000  8 Tc 2.82